(1)
Here is a relaxed structure of ZrAlMo from Alexandria. Energies are from GGA-PBE.

Unit cell a=5.280 b=5.409 c=7.574 alpha=90.00 beta=90.00 gamma=90.00
Space group Imma (No. 74)
Asymmetric unit:
Zr: 0.000 0.250 0.118
Al: 0.000 0.000 0.500
Mo: 0.250 0.250 0.750

Energy relative to the elements: -0.3481 eV/atom

=====

(2)
Here is a relaxed structure of ScNi3Te from Alexandria. Energies are from GGA-PBE.

Unit cell a=4.592 b=4.592 c=4.592 alpha=90.00 beta=90.00 gamma=90.00
Space group Pm-3m (No. 221)
Asymmetric unit:
Sc: 0.000 0.000 0.000
Ni: 0.000 0.500 0.500
Te: 0.500 0.500 0.500

Raw formation energy: 350 meV/atom

=====

Computed calculated volume, in the same sequence as the records: 18.0; 19.4 Å³/atom.
Computed uncorrected energy, in the same sequence as the records: -8.06; -5.01 eV/atom.